#i
Li2CaFe: single point on PBEsol structure, SCAN.

```
data_Li2CaFe
_chemical_formula_sum 'Li4 Ca2 Fe2'
_cell_length_a 5.521
_cell_length_b 9.542
_cell_length_c 2.938
_cell_angle_alpha 90.00
_cell_angle_beta 90.00
_cell_angle_gamma 90.00
_space_group_name_H-M_alt 'C m m m'
_space_group_IT_number 65
_space_group_name_Hall '-C 2 2'
loop_
_atom_site_label
_atom_site_type_symbol
_atom_site_fract_x
_atom_site_fract_y
_atom_site_fract_z
Li1 Li 0.250 0.250 0.000
Ca1 Ca 0.000 0.000 0.500
Fe1 Fe 0.000 0.500 0.500
```

#ii
Li2CaFe: single point on PBEsol structure, SCAN.

```
data_Li2CaFe
_chemical_formula_sum 'Li8 Ca4 Fe4'
_cell_length_a 6.727
_cell_length_b 6.727
_cell_length_c 6.727
_cell_angle_alpha 90.00
_cell_angle_beta 90.00
_cell_angle_gamma 90.00
_space_group_name_H-M_alt 'F m -3 m'
_space_group_IT_number 225
_space_group_name_Hall '-F 4 2 3'
loop_
_atom_site_label
_atom_site_type_symbol
_atom_site_fract_x
_atom_site_fract_y
_atom_site_fract_z
Li1 Li 0.250 0.250 0.250
Ca1 Ca 0.000 0.000 0.000
Fe1 Fe 0.000 0.000 0.500
```

Of them, #ii has the highest stability.